The following is a GGA-PBE calculation of Tm7ZrAl4 after structural relaxation, from Alexandria.

* ΔE_f: -0.30 eV/f.u.
* raw total energy: -55.12 eV/cell
* SG: C2/m
* magnetic moment: 0.00 μB per cell

```
data_Tm7ZrAl4
_chemical_formula_sum 'Tm7 Zr1 Al4'
_space_group_name_H-M_alt 'P 1'
_space_group_IT_number 1
_cell_length_a 7.402
_cell_length_b 7.402
_cell_length_c 9.991
_cell_angle_alpha 121.71
_cell_angle_beta 121.71
_cell_angle_gamma 42.43
loop_
_space_group_symop_operation_xyz
'x,y,z'
loop_
_atom_site_label
_atom_site_type_symbol
_atom_site_fract_x
_atom_site_fract_y
_atom_site_fract_z
Tm1 Tm 0.000 0.000 0.000
Tm2 Tm 0.218 0.218 0.667
Tm3 Tm 0.291 0.291 0.119
Tm4 Tm 0.433 0.433 0.607
Tm5 Tm 0.567 0.567 0.393
Tm6 Tm 0.709 0.709 0.881
Tm7 Tm 0.782 0.782 0.333
Zr1 Zr 0.500 0.500 0.000
Al1 Al 0.053 0.053 0.753
Al2 Al 0.177 0.177 0.338
Al3 Al 0.823 0.823 0.662
Al4 Al 0.947 0.947 0.247
```